TlZn2Au: relaxed, PBE.

Unit cell a=8.5687 b=8.5687 c=8.5687 alpha=22.78 beta=22.78 gamma=22.78
Last column: nearest neighbours and their distance in Å.
Sites, in units of the cell vectors:
Au  0.2500  0.2500  0.2500  6 Zn 2.67
Zn  0.5108  0.5108  0.5108  3 Au 2.67
Zn  0.9892  0.9892  0.9892  3 Au 2.67
Tl  0.7500  0.7500  0.7500  6 Zn 3.06, 6 Tl 3.38

Results
The total energy is -1.996 eV per atom. For the energy of formation, the calculation gives 1.2 kcal/mol of atoms. As for the density of states at the Fermi level: 1.76 states/eV/cell. For the energy above the most stable polymorph in this dataset, the calculation gives 57 meV per atom.